# NaCrBrO GGA+U optimized geometry
# * volume: 21.8 A^3/atom
# * crystal system: monoclinic
# * relative energy among the computed polymorphs: 0.033 eV/atom
# * total energy: -5.051 eV per atom
data_NaCrBrO
_chemical_formula_sum 'Na1 Cr1 Br1 O1'
_cell_length_a 4.162
_cell_length_b 3.233
_cell_length_c 6.543
_cell_angle_alpha 90.00
_cell_angle_beta 97.00
_cell_angle_gamma 90.00
_space_group_name_H-M_alt 'P 1 m 1'
_space_group_IT_number 6
_space_group_name_Hall 'P -2y'
loop_
_atom_site_label
_atom_site_type_symbol
_atom_site_fract_x
_atom_site_fract_y
_atom_site_fract_z
Na1 Na 0.000 0.000 0.000
Cr1 Cr 0.719 0.000 0.579
Br1 Br 0.536 0.500 0.264
O1 O 0.838 0.500 0.752